An optimized crystal structure of AlNiPO2, computed with PBE with a Hubbard U.

a b c (Å): 3.645 3.645 4.668
angles (deg): 90.00 90.00 90.00
Site moments in Bohr magnetons follow the coordinates.
Sites, in units of the cell vectors:
Al (0.500, 0.500, 0.500)  0.00
P (0.000, 0.000, 0.500)  -0.03
O (0.000, 0.500, 0.000)  -0.21
O (0.500, 0.000, 0.000)  -0.21
Ni (0.000, 0.000, 0.000)  0.47

**ΔE to the lowest computed polymorph**: 3.20 eV/f.u.
**DOS at the Fermi energy**: 3.59 states/eV/f.u.
**Space-group type**: No. 123